[1]
DFT (PBE-GGA) results for a relaxed AcNd8Ho2 crystal.

Structure (POSCAR):
```
AcNd8Ho2
1.0
5.6467 -0.4974 -0.3475
0.4388 10.1748 2.7204
0.4388 6.0558 8.6171
Nd Ho Ac
8 2 1
direct
0.7291 0.8650 0.4069
0.2335 0.1896 0.1896
0.7665 0.8104 0.8104
0.2415 0.5449 0.5449
0.7291 0.4069 0.8650
0.2709 0.1350 0.5931
0.2709 0.5931 0.1350
0.7585 0.4551 0.4551
0.7504 0.2851 0.2851
0.2496 0.7149 0.7149
0.0000 0.0000 0.0000
```

Calculated values
total energy = -50.09 eV per cell
space-group type = C2/m
formation enthalpy at 0 K = 0.120 eV per atom
M_tot = 0.0 μB per formula unit

---

[2]
DFT (PBE-GGA) results for a relaxed LaCeLu2 crystal.

Structure (POSCAR):
```
LaCeLu2
1.0
3.6019 0.0000 0.0000
0.0000 3.6019 0.0000
0.0000 0.0000 9.6509
Lu Ce La
2 1 1
direct
0.0000 0.0000 0.2382
0.0000 0.0000 0.7618
0.5000 0.5000 0.0000
0.5000 0.5000 0.5000
```

Calculated values
total energy = -19.65 eV per cell
space-group type = P4/mmm
formation enthalpy at 0 K = 0.063 eV per atom
M_tot = 0.5 μB per formula unit
energy above the most stable polymorph in this dataset = 0 meV/atom

---

[3]
DFT (PBE-GGA) results for a relaxed Li2MnTc crystal.

Structure (POSCAR):
```
Li2MnTc
1.0
2.6979 0.0000 0.0000
0.0000 3.7453 0.0000
0.0000 0.0000 5.7550
Mn Li Tc
1 2 1
direct
0.0000 0.0000 0.5417
0.5000 0.5000 0.2437
0.0000 0.0000 0.0032
0.5000 0.5000 0.7113
```

Calculated values
total energy = -22.31 eV per cell
space-group type = Pmm2
formation enthalpy at 0 K = 0.262 eV per atom
M_tot = 2.5 μB per formula unit
energy above the most stable polymorph in this dataset = 60 meV/atom

---

[4]
DFT (PBE-GGA) results for a relaxed Tb4Cr crystal.

Structure (POSCAR):
```
Tb4Cr
1.0
5.3054 0.0000 0.0000
0.0000 5.3054 0.0000
0.0000 0.0000 5.3054
Tb Cr
4 1
direct
0.0000 0.0000 0.0000
0.0000 0.5000 0.5000
0.5000 0.0000 0.5000
0.5000 0.5000 0.0000
0.5000 0.5000 0.5000
```

Calculated values
total energy = -26.12 eV per cell
space-group type = Pm-3m
formation enthalpy at 0 K = 0.406 eV per atom
M_tot = 0.1 μB per formula unit

---

[5]
DFT (PBE-GGA) results for a relaxed DyEr4Zn4 crystal.

Structure (POSCAR):
```
DyEr4Zn4
1.0
5.8676 0.0000 0.0000
0.0000 8.9508 0.0000
0.0000 0.0000 8.9508
Er Zn Dy
8 8 2
direct
0.1109 0.8164 0.4101
0.3891 0.3164 0.9101
0.6109 0.0899 0.3164
0.3891 0.6836 0.0899
0.1109 0.1836 0.5899
0.8891 0.5899 0.8164
0.6109 0.9101 0.6836
0.8891 0.4101 0.1836
0.8772 0.2727 0.8662
0.8772 0.7273 0.1338
0.3772 0.3662 0.2273
0.6228 0.2273 0.6338
0.1228 0.8662 0.7273
0.1228 0.1338 0.2727
0.6228 0.7727 0.3662
0.3772 0.6338 0.7727
0.5000 0.5000 0.5000
0.0000 0.0000 0.0000
```

Calculated values
total energy = -57.02 eV per cell
space-group type = P4_2/n
formation enthalpy at 0 K = -0.062 eV per atom
M_tot = 0.0 μB per formula unit

---

[6]
DFT (PBE-GGA) results for a relaxed TbPmY2Tm5 crystal.

Structure (POSCAR):
```
TbPmY2Tm5
1.0
5.5753 0.0000 0.0000
-2.7876 9.7919 0.0000
0.0000 0.0000 10.5574
Tb Tm Pm Y
2 10 2 4
direct
0.7980 0.5960 0.5112
0.2020 0.4040 0.0112
0.9808 0.9616 0.5268
0.3908 0.7817 0.0219
0.0192 0.0384 0.0268
0.2831 0.5661 0.3092
0.7014 0.4028 0.2092
0.2986 0.5972 0.7092
0.7170 0.4339 0.8092
0.6092 0.2183 0.5219
0.5211 0.0422 0.2361
0.4789 0.9578 0.7361
0.5828 0.1657 0.9547
0.4172 0.8343 0.4547
0.8902 0.7805 0.2347
0.1098 0.2195 0.7347
0.8870 0.7739 0.8201
0.1130 0.2261 0.3201
```

Calculated values
total energy = -86.48 eV per cell
space-group type = Cmc2_1
formation enthalpy at 0 K = 0.158 eV per atom
M_tot = 0.0 μB per formula unit